(1)
DFT (GGA-PBE) results for an optimized crystal structure of Dy11S16.

Results
Total DFT energy (no corrections) (eV/atom): -6.364
Formation energy from raw total energies (eV/atom): -2.0432
Density of states at the Fermi level (states/eV/f.u.): 5.4
Calculated volume (Å³/f.u.): 577.4
Size of the total moment (μB/cell): 0.000

The structure in CIF format:
```
data_Dy11S16
_cell_length_a 8.329
_cell_length_b 16.723
_cell_length_c 8.291
_cell_angle_alpha 90.00
_cell_angle_beta 90.00
_cell_angle_gamma 90.00
_symmetry_space_group_name_H-M 'P 21 21 2'
_symmetry_Int_Tables_number 18
loop_
_symmetry_equiv_pos_as_xyz
'x,y,z'
'-x,-y,z'
'x+1/2,-y+1/2,-z'
'-x+1/2,y+1/2,-z'
loop_
_atom_site_label
_atom_site_type_symbol
_atom_site_fract_x
_atom_site_fract_y
_atom_site_fract_z
Dy1 Dy 0.000 0.000 0.142
Dy2 Dy 0.008 0.751 0.380
Dy3 Dy 0.121 0.623 0.764
Dy4 Dy 0.137 0.119 0.764
Dy5 Dy 0.242 0.441 0.472
Dy6 Dy 0.249 0.319 0.999
S1 S 0.058 0.090 0.446
S2 S 0.073 0.157 0.082
S3 S 0.074 0.669 0.075
S4 S 0.078 0.593 0.439
S5 S 0.170 0.281 0.686
S6 S 0.173 0.961 0.841
S7 S 0.184 0.463 0.795
S8 S 0.190 0.784 0.680
```

=====

(2)
DFT (GGA-PBE) results for an optimized crystal structure of LiAcCe2S4.

Results
Total DFT energy (no corrections) (eV/atom): -6.151
Formation energy from raw total energies (eV/atom): -1.8511
Density of states at the Fermi level (states/eV/f.u.): 12.0
Calculated volume (Å³/f.u.): 195.3
Size of the total moment (μB/cell): 2.367

The structure in CIF format:
```
data_LiAcCe2S4
_cell_length_a 7.021
_cell_length_b 4.095
_cell_length_c 7.190
_cell_angle_alpha 90.00
_cell_angle_beta 109.17
_cell_angle_gamma 90.00
_symmetry_space_group_name_H-M 'P 1 2/m 1'
_symmetry_Int_Tables_number 10
loop_
_symmetry_equiv_pos_as_xyz
'x,y,z'
'-x,-y,-z'
'-x,y,-z'
'x,-y,z'
loop_
_atom_site_label
_atom_site_type_symbol
_atom_site_fract_x
_atom_site_fract_y
_atom_site_fract_z
Li1 Li 0.000 0.000 0.000
Ac1 Ac 0.500 0.500 0.000
Ce1 Ce 0.000 0.500 0.500
Ce2 Ce 0.500 0.000 0.500
S1 S 0.234 0.000 0.743
S2 S 0.242 0.500 0.254
```

=====

(3)
DFT (GGA-PBE) results for an optimized crystal structure of Na2ZnInS.

Results
Total DFT energy (no corrections) (eV/atom): -1.979
Formation energy from raw total energies (eV/atom): 0.1770
Density of states at the Fermi level (states/eV/f.u.): 2.1
Calculated volume (Å³/f.u.): 183.6
Size of the total moment (μB/cell): 0.000

The structure in CIF format:
```
data_Na2ZnInS
_cell_length_a 6.004
_cell_length_b 6.004
_cell_length_c 5.092
_cell_angle_alpha 90.00
_cell_angle_beta 90.00
_cell_angle_gamma 90.00
_symmetry_space_group_name_H-M 'P 4/m m m'
_symmetry_Int_Tables_number 123
_symmetry_space_group_name_Hall '-P 4 2'
loop_
_atom_site_label
_atom_site_type_symbol
_atom_site_fract_x
_atom_site_fract_y
_atom_site_fract_z
Na1 Na 0.000 0.500 0.000
Zn1 Zn 0.000 0.000 0.500
In1 In 0.500 0.500 0.000
S1 S 0.500 0.500 0.500
```

=====

(4)
DFT (GGA-PBE) results for an optimized crystal structure of LaMgSn.

Results
Total DFT energy (no corrections) (eV/atom): -4.096
Energy of formation (eV/atom): -0.5880
Density of states at the Fermi level (states/eV/f.u.): 1.8
Calculated volume (Å³/f.u.): 85.6
Size of the total moment (μB/cell): 1.254

The structure in CIF format:
```
data_LaMgSn
_cell_length_a 4.599
_cell_length_b 4.599
_cell_length_c 8.093
_cell_angle_alpha 90.00
_cell_angle_beta 90.00
_cell_angle_gamma 90.00
_symmetry_space_group_name_H-M 'P 4/n m m'
_symmetry_Int_Tables_number 129
loop_
_symmetry_equiv_pos_as_xyz
'x,y,z'
'-x,-y,-z'
'-y+1/2,x,z'
'y+1/2,-x,-z'
'-x+1/2,-y+1/2,z'
'x+1/2,y+1/2,-z'
'y,-x+1/2,z'
'-y,x+1/2,-z'
'x+1/2,-y,-z'
'-x+1/2,y,z'
'-y,-x,-z'
'y,x,z'
'-x,y+1/2,-z'
'x,-y+1/2,z'
'y+1/2,x+1/2,-z'
'-y+1/2,-x+1/2,z'
loop_
_atom_site_label
_atom_site_type_symbol
_atom_site_fract_x
_atom_site_fract_y
_atom_site_fract_z
La1 La 0.250 0.250 0.152
Mg1 Mg 0.250 0.750 0.500
Sn1 Sn 0.250 0.250 0.736
```

=====

(5)
DFT (GGA-PBE) results for an optimized crystal structure of RbCoRu.

Results
Total DFT energy (no corrections) (eV/atom): -5.052
Energy of formation (eV/atom): 0.7311
Density of states at the Fermi level (states/eV/f.u.): 4.5
Calculated volume (Å³/f.u.): 68.8
Distance to the lowest polymorph of the same formula (eV/atom): 0.0992
Size of the total moment (μB/cell): 8.084

The structure in CIF format:
```
data_RbCoRu
_cell_length_a 13.131
_cell_length_b 4.757
_cell_length_c 4.407
_cell_angle_alpha 90.00
_cell_angle_beta 90.00
_cell_angle_gamma 90.00
_symmetry_space_group_name_H-M 'P n m a'
_symmetry_Int_Tables_number 62
loop_
_symmetry_equiv_pos_as_xyz
'x,y,z'
'-x,-y,-z'
'-x+1/2,-y,z+1/2'
'x+1/2,y,-z+1/2'
'x+1/2,-y+1/2,-z+1/2'
'-x+1/2,y+1/2,z+1/2'
'-x,y+1/2,-z'
'x,-y+1/2,z'
loop_
_atom_site_label
_atom_site_type_symbol
_atom_site_fract_x
_atom_site_fract_y
_atom_site_fract_z
Rb1 Rb 0.218 0.250 0.001
Co1 Co 0.000 0.000 0.500
Ru1 Ru 0.032 0.750 0.000
```

=====

(6)
DFT (GGA-PBE) results for an optimized crystal structure of Hf2CrS.

Results
Total DFT energy (no corrections) (eV/atom): -7.945
Formation energy from raw total energies (eV/atom): 0.4697
Density of states at the Fermi level (states/eV/f.u.): 5.5
Calculated volume (Å³/f.u.): 74.5
Distance to the lowest polymorph of the same formula (eV/atom): 0.4145
Size of the total moment (μB/cell): 0.493

The structure in CIF format:
```
data_Hf2CrS
_cell_length_a 4.082
_cell_length_b 4.082
_cell_length_c 17.877
_cell_angle_alpha 90.00
_cell_angle_beta 90.00
_cell_angle_gamma 90.00
_symmetry_space_group_name_H-M 'I -4 2 d'
_symmetry_Int_Tables_number 122
_symmetry_space_group_name_Hall 'I -4 2bw'
loop_
_atom_site_label
_atom_site_type_symbol
_atom_site_fract_x
_atom_site_fract_y
_atom_site_fract_z
Hf1 Hf 0.243 0.250 0.125
Cr1 Cr 0.000 0.000 0.500
S1 S 0.000 0.000 0.000
```

=====

(7)
DFT (GGA-PBE) results for an optimized crystal structure of NaIn2Te4.

Results
Total DFT energy (no corrections) (eV/atom): -3.120
Formation energy from raw total energies (eV/atom): -0.3537
Density of states at the Fermi level (states/eV/f.u.): 4.9
Calculated volume (Å³/f.u.): 247.0
Size of the total moment (μB/cell): 0.000

The structure in CIF format:
```
data_NaIn2Te4
_cell_length_a 7.379
_cell_length_b 11.553
_cell_length_c 11.587
_cell_angle_alpha 90.00
_cell_angle_beta 90.00
_cell_angle_gamma 90.00
_symmetry_space_group_name_H-M 'C c c m'
_symmetry_Int_Tables_number 66
_symmetry_space_group_name_Hall '-C 2 2c'
loop_
_atom_site_label
_atom_site_type_symbol
_atom_site_fract_x
_atom_site_fract_y
_atom_site_fract_z
Na1 Na 0.000 0.000 0.250
In1 In 0.001 0.262 0.000
Te1 Te 0.231 0.063 0.500
Te2 Te 0.250 0.250 0.188
```

=====

(8)
DFT (GGA-PBE) results for an optimized crystal structure of SmSiOsN.

Results
Total DFT energy (no corrections) (eV/atom): -8.374
Formation energy from raw total energies (eV/atom): -0.9494
Density of states at the Fermi level (states/eV/f.u.): 1.4
Calculated volume (Å³/f.u.): 64.6
Size of the total moment (μB/cell): 0.000

The structure in CIF format:
```
data_SmSiOsN
_cell_length_a 3.987
_cell_length_b 3.987
_cell_length_c 8.129
_cell_angle_alpha 90.00
_cell_angle_beta 90.00
_cell_angle_gamma 90.00
_symmetry_space_group_name_H-M 'P 4/n m m'
_symmetry_Int_Tables_number 129
loop_
_symmetry_equiv_pos_as_xyz
'x,y,z'
'-x,-y,-z'
'-y+1/2,x,z'
'y+1/2,-x,-z'
'-x+1/2,-y+1/2,z'
'x+1/2,y+1/2,-z'
'y,-x+1/2,z'
'-y,x+1/2,-z'
'x+1/2,-y,-z'
'-x+1/2,y,z'
'-y,-x,-z'
'y,x,z'
'-x,y+1/2,-z'
'x,-y+1/2,z'
'y+1/2,x+1/2,-z'
'-y+1/2,-x+1/2,z'
loop_
_atom_site_label
_atom_site_type_symbol
_atom_site_fract_x
_atom_site_fract_y
_atom_site_fract_z
Sm1 Sm 0.250 0.250 0.160
Si1 Si 0.250 0.250 0.659
Os1 Os 0.250 0.750 0.500
N1 N 0.250 0.250 0.874
```